This record from the Alexandria database describes crystalline Rb2Pa3CrO12 at its relaxed geometry. The functional is GGA+U.

Unit cell a=7.6904 b=7.6904 c=7.6904 alpha=62.43 beta=62.43 gamma=62.43
Last column: nearest neighbours and their distance in Å.
Element x y z (fractional)
O 0.9465 0.9465 0.2750  1 Cr 1.83
O 0.6741 0.0625 0.6741  2 Pa 2.16
O 0.9465 0.2750 0.9465  1 Cr 1.83
O 0.2750 0.9465 0.9465  1 Cr 1.83
O 0.6741 0.6741 0.0625  2 Pa 2.16
O 0.3259 0.9375 0.3259  2 Pa 2.16
O 0.0535 0.7250 0.0535  1 Cr 1.83
O 0.9375 0.3259 0.3259  2 Pa 2.16
O 0.3259 0.3259 0.9375  2 Pa 2.16
O 0.0535 0.0535 0.7250  1 Cr 1.83
O 0.0625 0.6741 0.6741  2 Pa 2.16
O 0.7250 0.0535 0.0535  1 Cr 1.83
Pa 0.0000 0.5000 0.0000  6 O 2.16-2.19
Pa 0.5000 0.0000 0.0000  6 O 2.16-2.19
Pa 0.0000 0.0000 0.5000  6 O 2.16-2.19
Rb 0.3788 0.3788 0.3788  6 O 3.28-3.62
Rb 0.6212 0.6212 0.6212  6 O 3.28-3.62
Cr 0.0000 0.0000 0.0000  6 O 1.83

The value obtained for the total energy is -143.2 eV/cell. The volume is 339 Å³/cell. The size of the total moment is 1.06 Bohr magnetons per cell. As for the space-group type: R-3m.